Material: ScTlIn2Br6
Method: DFT, GGA-PBE
State: optimized geometry

Summary:
DOS(E_F) = 0.0 states/eV/f.u.
formation energy from raw total energies = -1.117 eV/atom
volume = 37.83 Å³ per atom

Cell and atoms, written as CIF:
```
data_ScTlIn2Br6
_cell_length_a 8.004
_cell_length_b 8.004
_cell_length_c 8.235
_cell_angle_alpha 60.93
_cell_angle_beta 60.95
_cell_angle_gamma 60.00
_space_group_name_H-M_alt 'P 1'
_space_group_IT_number 1
loop_
_space_group_symop_operation_xyz
'x,y,z'
loop_
_atom_site_label
_atom_site_type_symbol
_atom_site_fract_x
_atom_site_fract_y
_atom_site_fract_z
_atom_site_occupancy
Sc1 Sc 0.324 0.324 0.028 1
Br1 Br 0.551 0.210 0.240 1
Br2 Br 0.429 0.661 0.783 1
Br3 Br 0.661 0.127 0.783 1
In1 In 0.527 0.527 0.418 1
Tl1 Tl 0.815 0.815 0.554 1
Br4 Br 0.209 0.000 0.240 1
Br5 Br 0.000 0.551 0.239 1
In2 In 0.017 0.018 0.948 1
Br6 Br 0.128 0.428 0.782 1
```